one | ScPAu3 at its PBEsol-relaxed geometry, computed with meta-GGA SCAN.

It has space group Pm-3m (No. 221), with a = 4.644 Å, b = 4.644 Å, c = 4.644 Å, α = 90.00°, β = 90.00° and γ = 90.00°. The inequivalent atoms are Sc at (0.000, 0.000, 0.000), P at (0.500, 0.500, 0.500) and Au at (0.000, 0.500, 0.500).

---

two | ScPAu3 at its PBEsol-relaxed geometry, computed with meta-GGA SCAN.

It has space group Pm-3m (No. 221), with a = 4.938 Å, b = 4.938 Å, c = 4.938 Å, α = 90.00°, β = 90.00° and γ = 90.00°. The inequivalent atoms are Sc at (0.000, 0.000, 0.000), P at (0.500, 0.500, 0.500) and Au at (0.000, 0.000, 0.500).

---

Least stable = two

---

one | TlPAu2 at its PBEsol-relaxed geometry, computed with meta-GGA SCAN.

It has space group P-4m2 (No. 115), with a = 4.481 Å, b = 4.481 Å, c = 4.947 Å, α = 90.00°, β = 90.00° and γ = 90.00°. The inequivalent atoms are Tl at (0.000, 0.000, 0.000), P at (0.500, 0.500, 0.500) and Au at (0.000, 0.500, 0.369).

---

two | TlPAu2 at its PBEsol-relaxed geometry, computed with meta-GGA SCAN.

It has space group P4mm (No. 99), with a = 3.438 Å, b = 3.438 Å, c = 7.373 Å, α = 90.00°, β = 90.00° and γ = 90.00°. The inequivalent atoms are Tl at (0.000, 0.000, 0.000), P at (0.500, 0.500, 0.542), Au at (0.000, 0.000, 0.612) and Au at (0.500, 0.500, 0.224).

---

Least stable = two

---

one | Pb5Au at its PBEsol-relaxed geometry, computed with meta-GGA SCAN.

It has space group Cmmm (No. 65), with a = 3.530 Å, b = 16.902 Å, c = 5.554 Å, α = 90.00°, β = 90.00° and γ = 90.00°. The inequivalent atoms are Pb at (0.000, 0.000, 0.000), Pb at (0.000, 0.143, 0.500), Pb at (0.000, 0.332, 0.000) and Au at (0.000, 0.500, 0.500).

---

two | Pb5Au at its PBEsol-relaxed geometry, computed with meta-GGA SCAN.

It has space group C2/m (No. 12), with a = 12.721 Å, b = 3.575 Å, c = 7.551 Å, α = 90.00°, β = 106.52° and γ = 90.00°. The inequivalent atoms are Pb at (0.000, 0.000, 0.000), Pb at (0.146, 0.500, 0.353), Pb at (0.159, 0.500, 0.801) and Au at (0.000, 0.000, 0.500).

---

three | Pb5Au at its PBEsol-relaxed geometry, computed with meta-GGA SCAN.

It has space group P4/mmm (No. 123), with a = 3.509 Å, b = 3.509 Å, c = 13.297 Å, α = 90.00°, β = 90.00° and γ = 90.00°. The inequivalent atoms are Pb at (0.000, 0.000, 0.000), Pb at (0.000, 0.000, 0.366), Pb at (0.500, 0.500, 0.179) and Au at (0.500, 0.500, 0.500).

---

four | Pb5Au at its PBEsol-relaxed geometry, computed with meta-GGA SCAN.

It has space group P-62m (No. 189), with a = 5.9029 Å, b = 5.9029 Å, c = 5.4231 Å, α = 90.00°, β = 90.00° and γ = 120.00°. The inequivalent atoms are Pb at (0.0000, 0.6795, 0.0000), Pb at (0.3333, 0.6667, 0.5000) and Au at (0.0000, 0.0000, 0.5000).

---

Least stable = four

---

one | PtPb2Au at its PBEsol-relaxed geometry, computed with meta-GGA SCAN.

It has space group Imm2 (No. 44), with a = 3.326 Å, b = 5.102 Å, c = 10.227 Å, α = 90.00°, β = 90.00° and γ = 90.00°. The inequivalent atoms are Pt at (0.000, 0.000, 0.000), Pb at (0.000, 0.000, 0.524), Pb at (0.000, 0.500, 0.730) and Au at (0.000, 0.500, 0.286).

---

two | PtPb2Au at its PBEsol-relaxed geometry, computed with meta-GGA SCAN.

It has space group Amm2 (No. 38), with a = 4.331 Å, b = 3.792 Å, c = 10.616 Å, α = 90.00°, β = 90.00° and γ = 90.00°. The inequivalent atoms are Pt at (0.000, 0.000, 0.000), Pb at (0.000, 0.000, 0.270), Pb at (0.500, 0.000, 0.557) and Au at (0.500, 0.000, 0.831).

---

Least stable = one

---

one | RePb2Au at its PBEsol-relaxed geometry, computed with meta-GGA SCAN.

It has space group P4mm (No. 99), with a = 3.086 Å, b = 3.086 Å, c = 9.180 Å, α = 90.00°, β = 90.00° and γ = 90.00°. The inequivalent atoms are Re at (0.000, 0.000, 0.000), Pb at (0.000, 0.000, 0.418), Pb at (0.500, 0.500, 0.773) and Au at (0.500, 0.500, 0.182).

---

two | RePb2Au at its PBEsol-relaxed geometry, computed with meta-GGA SCAN.

It has space group Cmmm (No. 65), with a = 3.260 Å, b = 5.006 Å, c = 10.475 Å, α = 90.00°, β = 90.00° and γ = 90.00°. The inequivalent atoms are Re at (0.000, 0.000, 0.000), Pb at (0.000, 0.500, 0.230) and Au at (0.000, 0.000, 0.500).

---

three | RePb2Au at its PBEsol-relaxed geometry, computed with meta-GGA SCAN.

It has space group Fm-3m (No. 225), with a = 6.882 Å, b = 6.882 Å, c = 6.882 Å, α = 90.00°, β = 90.00° and γ = 90.00°. The inequivalent atoms are Re at (0.000, 0.000, 0.000), Pb at (0.250, 0.250, 0.250) and Au at (0.000, 0.000, 0.500).

---

Least stable = three

---

one | SbPb2Au2 at its PBEsol-relaxed geometry, computed with meta-GGA SCAN.

It has space group I4/mmm (No. 139), with a = 4.499 Å, b = 4.499 Å, c = 12.502 Å, α = 90.00°, β = 90.00° and γ = 90.00°. The inequivalent atoms are Sb at (0.000, 0.000, 0.000), Pb at (0.000, 0.500, 0.250) and Au at (0.000, 0.000, 0.397).

---

two | SbPb2Au2 at its PBEsol-relaxed geometry, computed with meta-GGA SCAN.

It has space group P4/mbm (No. 127), with a = 7.444 Å, b = 7.444 Å, c = 4.360 Å, α = 90.00°, β = 90.00° and γ = 90.00°. The inequivalent atoms are Sb at (0.000, 0.000, 0.000), Pb at (0.169, 0.331, 0.500) and Au at (0.133, 0.633, 0.000).

---

Least stable = one

---

one | PbAu2Se2 at its PBEsol-relaxed geometry, computed with meta-GGA SCAN.

It has space group I4/mmm (No. 139), with a = 3.890 Å, b = 3.890 Å, c = 14.525 Å, α = 90.00°, β = 90.00° and γ = 90.00°. The inequivalent atoms are Pb at (0.000, 0.000, 0.000), Au at (0.000, 0.500, 0.250) and Se at (0.000, 0.000, 0.389).

---

two | PbAu2Se2 at its PBEsol-relaxed geometry, computed with meta-GGA SCAN.

It has space group I4/mmm (No. 139), with a = 4.317 Å, b = 4.317 Å, c = 11.905 Å, α = 90.00°, β = 90.00° and γ = 90.00°. The inequivalent atoms are Pb at (0.000, 0.000, 0.000), Au at (0.000, 0.000, 0.390) and Se at (0.000, 0.500, 0.250).

---

Least stable = two

---

one | SiPbAu2 at its PBEsol-relaxed geometry, computed with meta-GGA SCAN.

It has space group Cmmm (No. 65), with a = 5.910 Å, b = 7.268 Å, c = 3.687 Å, α = 90.00°, β = 90.00° and γ = 90.00°. The inequivalent atoms are Si at (0.000, 0.000, 0.000), Pb at (0.000, 0.500, 0.000) and Au at (0.250, 0.250, 0.500).

---

two | SiPbAu2 at its PBEsol-relaxed geometry, computed with meta-GGA SCAN.

It has space group I-4m2 (No. 119), with a = 4.256 Å, b = 4.256 Å, c = 8.603 Å, α = 90.00°, β = 90.00° and γ = 90.00°. The inequivalent atoms are Si at (0.000, 0.000, 0.000), Pb at (0.000, 0.500, 0.750), Au at (0.000, 0.000, 0.500) and Au at (0.000, 0.500, 0.250).

---

Least stable = two